# La3Mg3In2Ir, relaxed, DFT PBE
# E_tot in eV per atom: -4.21
# Calculated volume in Å³/cell: 242
# Total magnetic moment in μB per atom: 0.006
data_La3Mg3In2Ir
_cell_length_a 7.5720
_cell_length_b 7.5720
_cell_length_c 4.8747
_cell_angle_alpha 90.00
_cell_angle_beta 90.00
_cell_angle_gamma 120.00
_symmetry_space_group_name_H-M 'P 1'
_symmetry_Int_Tables_number 1
_symmetry_space_group_name_Hall 'P 1'
loop_
_atom_site_label
_atom_site_fract_x
_atom_site_fract_y
_atom_site_fract_z
La1 0.0000 0.3792 0.0000
La2 0.3792 0.0000 0.0000
La3 0.6208 0.6208 0.0000
Mg1 0.0000 0.7742 0.5000
Mg2 0.2258 0.2258 0.5000
Mg3 0.7742 0.0000 0.5000
In1 0.3333 0.6667 0.5000
In2 0.6667 0.3333 0.5000
Ir1 0.0000 0.0000 0.0000